Entry 1:
Computed, not measured: Y2Er3Cu2 after structural relaxation at the PBE-GGA level of DFT.

a = 12.369 Å, b = 3.622 Å, c = 8.983 Å
α = 90.00°, β = 117.00°, γ = 90.00°
Space group C2/m (No. 12)
One atom of each set of equivalent atoms:
Y  0.154  0.000  0.312
Er  0.000  0.500  0.500
Er  0.115  0.500  0.944
Cu  0.169  0.000  0.731

Results
Magnetization in μB/f.u.: 0.00
E in eV per formula unit: -35.75
ΔH_f (0 K) in meV per atom: -134

Entry 2:
Computed, not measured: TmZn8Ir4 after structural relaxation at the PBE-GGA level of DFT.

a = 8.584 Å, b = 8.584 Å, c = 5.623 Å
α = 90.00°, β = 90.00°, γ = 90.00°
Space group I4/mmm (No. 139)
One atom of each set of equivalent atoms:
Tm  0.000  0.000  0.000
Zn  0.000  0.225  0.500
Zn  0.000  0.334  0.000
Ir  0.250  0.250  0.250

Results
Magnetization in μB/f.u.: 0.00
E in eV per formula unit: -54.39
ΔH_f (0 K) in meV per atom: -329

Entry 3:
Computed, not measured: Cr8PC2 after structural relaxation at the PBE-GGA level of DFT.

a = 6.215 Å, b = 9.160 Å, c = 4.167 Å
α = 90.00°, β = 105.99°, γ = 90.00°
Space group C2/m (No. 12)
One atom of each set of equivalent atoms:
Cr  0.000  0.248  0.000
Cr  0.116  0.500  0.801
Cr  0.204  0.128  0.600
P  0.000  0.000  0.000
C  0.000  0.315  0.500

Results
Magnetization in μB/f.u.: 0.00
E in eV per formula unit: -101.48
ΔH_f (0 K) in meV per atom: -58

Entry 4:
Computed, not measured: Cs2LiBi2 after structural relaxation at the PBE-GGA level of DFT.

a = 8.034 Å, b = 8.034 Å, c = 6.474 Å
α = 90.00°, β = 90.00°, γ = 90.00°
Space group P4/mbm (No. 127)
One atom of each set of equivalent atoms:
Cs  0.168  0.332  0.000
Li  0.000  0.000  0.500
Bi  0.137  0.637  0.500

Results
Magnetization in μB/f.u.: 0.00
E in eV per formula unit: -12.75
Energy above the most stable polymorph in this dataset in eV per atom: 0.0790
ΔH_f (0 K) in meV per atom: -273